Material: LiZn2Hg
Method: DFT, GGA-PBEsol
State: relaxed

Computed properties:
The value obtained for the final energy is -0.0575 Ha/atom. The formation energy is -0.14 eV/atom.

```
data_LiZn2Hg
_chemical_formula_sum 'Li1 Zn2 Hg1'
_cell_length_a 3.2817
_cell_length_b 3.2817
_cell_length_c 5.8536
_cell_angle_alpha 90.00
_cell_angle_beta 90.00
_cell_angle_gamma 90.00
_space_group_name_H-M_alt 'P 1'
_space_group_IT_number 1
_space_group_name_Hall 'P 1'
loop_
_atom_site_label
_atom_site_fract_x
_atom_site_fract_y
_atom_site_fract_z
_atom_site_occupancy
Li1 0.5000 0.5000 0.7587 1
Zn1 0.0000 0.0000 0.0017 1
Zn2 0.5000 0.5000 0.2239 1
Hg1 0.0000 0.0000 0.5157 1
```

Material: Li2ZnHg
Method: DFT, GGA-PBEsol
State: relaxed

Computed properties:
The value obtained for the final energy is -0.0659 Ha/atom. The formation energy is -0.27 eV/atom.

```
data_Li2ZnHg
_chemical_formula_sum 'Li2 Zn1 Hg1'
_cell_length_a 3.1780
_cell_length_b 4.4393
_cell_length_c 4.4393
_cell_angle_alpha 90.00
_cell_angle_beta 90.00
_cell_angle_gamma 90.00
_space_group_name_H-M_alt 'P 1'
_space_group_IT_number 1
_space_group_name_Hall 'P 1'
loop_
_atom_site_label
_atom_site_fract_x
_atom_site_fract_y
_atom_site_fract_z
_atom_site_occupancy
Zn1 0.5000 0.0000 0.6238 1
Li1 0.0000 0.0000 0.1240 1
Li2 0.0000 0.5000 0.6261 1
Hg1 0.5000 0.5000 0.1261 1
```

Material: LiZnHg
Method: DFT, GGA-PBEsol
State: relaxed

Computed properties:
The calculation puts the excess energy over the best structure of this formula in the dataset at 0.000 eV/atom. The value obtained for the final energy is -0.0591 Ha/atom. The formation energy is -0.24 eV/atom.

```
data_LiZnHg
_chemical_formula_sum 'Li1 Zn1 Hg1'
_cell_length_a 3.4163
_cell_length_b 3.3654
_cell_length_c 4.8910
_cell_angle_alpha 110.12
_cell_angle_beta 110.44
_cell_angle_gamma 90.00
_space_group_name_H-M_alt 'P 1'
_space_group_IT_number 1
_space_group_name_Hall 'P 1'
loop_
_atom_site_label
_atom_site_fract_x
_atom_site_fract_y
_atom_site_fract_z
_atom_site_occupancy
Hg1 0.0037 0.0037 0.0074 1
Zn1 0.3266 0.3266 0.6532 1
Li1 0.6697 0.6697 0.3394 1
```

Material: Li2ZnHg
Method: DFT, GGA-PBEsol
State: relaxed

Computed properties:
The value obtained for the final energy is -0.0677 Ha/atom. The formation energy is -0.32 eV/atom.

```
data_Li2ZnHg
_chemical_formula_sum 'Li2 Zn1 Hg1'
_cell_length_a 4.4539
_cell_length_b 4.4635
_cell_length_c 4.4539
_cell_angle_alpha 119.93
_cell_angle_beta 90.00
_cell_angle_gamma 119.93
_space_group_name_H-M_alt 'P 1'
_space_group_IT_number 1
_space_group_name_Hall 'P 1'
loop_
_atom_site_label
_atom_site_fract_x
_atom_site_fract_y
_atom_site_fract_z
_atom_site_occupancy
Zn1 0.5000 0.0000 0.5000 1
Hg1 0.7500 0.5000 0.2500 1
Li1 0.0000 0.0000 0.0000 1
Li2 0.2500 0.5000 0.7500 1
```

Material: LiZn2Hg
Method: DFT, GGA-PBEsol
State: relaxed

Computed properties:
The value obtained for the final energy is -0.0582 Ha/atom. The formation energy is -0.16 eV/atom.

```
data_LiZn2Hg
_chemical_formula_sum 'Li1 Zn2 Hg1'
_cell_length_a 3.8848
_cell_length_b 3.8848
_cell_length_c 4.1795
_cell_angle_alpha 90.00
_cell_angle_beta 90.00
_cell_angle_gamma 90.00
_space_group_name_H-M_alt 'P 1'
_space_group_IT_number 1
_space_group_name_Hall 'P 1'
loop_
_atom_site_label
_atom_site_fract_x
_atom_site_fract_y
_atom_site_fract_z
_atom_site_occupancy
Li1 0.0000 0.0000 0.5000 1
Hg1 0.5000 0.5000 0.5000 1
Zn1 0.5000 0.0000 0.0000 1
Zn2 0.0000 0.5000 0.0000 1
```

Material: LiZn2Hg
Method: DFT, GGA-PBEsol
State: relaxed

Computed properties:
The value obtained for the final energy is -0.0565 Ha/atom. The formation energy is -0.11 eV/atom.

```
data_LiZn2Hg
_chemical_formula_sum 'Li1 Zn2 Hg1'
_cell_length_a 2.9644
_cell_length_b 4.6019
_cell_length_c 4.8554
_cell_angle_alpha 90.00
_cell_angle_beta 92.46
_cell_angle_gamma 90.00
_space_group_name_H-M_alt 'P 1'
_space_group_IT_number 1
_space_group_name_Hall 'P 1'
loop_
_atom_site_label
_atom_site_fract_x
_atom_site_fract_y
_atom_site_fract_z
_atom_site_occupancy
Zn1 0.3040 0.0000 0.2283 1
Zn2 0.6960 0.0000 0.7717 1
Hg1 0.5000 0.5000 0.5000 1
Li1 0.0000 0.5000 0.0000 1
```